Entry A
First-principles (GGA-PBE) data for a relaxed YScCd crystal, as listed in the Open Quantum Materials Database.

Results
Volume ... 29.317 A^3/atom

a = 4.9917 Å, b = 4.9917 Å, c = 4.9917 Å
α = 60.00°, β = 60.00°, γ = 60.00°
Fractional positions:
Sc: 0.7500 0.7500 0.7500
Y: 0.0000 0.0000 0.0000
Cd: 0.2500 0.2500 0.2500


Entry B
First-principles (GGA-PBE) data for a relaxed YScCd crystal, as listed in the Open Quantum Materials Database.

Results
Volume ... 29.073 A^3/atom

a = 4.9779 Å, b = 4.9779 Å, c = 4.9779 Å
α = 60.00°, β = 60.00°, γ = 60.00°
Fractional positions:
Sc: 0.2500 0.2500 0.2500
Y: 0.7500 0.7500 0.7500
Cd: 0.0000 0.0000 0.0000


Which one sits at the top of the stability order? entry B does.


Entry A
First-principles (GGA-PBE) data for a relaxed ZnCdTeSe crystal, as listed in the Open Quantum Materials Database.

Results
Volume ... 29.136 A^3/atom

a = 6.1774 Å, b = 6.1774 Å, c = 7.4833 Å
α = 114.11°, β = 114.11°, γ = 90.00°
Fractional positions:
Se: 0.3755 0.5995 0.2500
Se: 0.5995 0.3755 0.7500
Zn: 0.2721 0.4985 0.5000
Zn: 0.4985 0.2721 0.0000
Te: 0.8755 0.1510 0.2500
Te: 0.1510 0.8755 0.7500
Cd: 0.7292 0.9985 0.5000
Cd: 0.9985 0.7292 0.0000


Entry B
First-principles (GGA-PBE) data for a relaxed ZnCdTeSe crystal, as listed in the Open Quantum Materials Database.

Results
Volume ... 29.179 A^3/atom

a = 7.5041 Å, b = 7.5041 Å, c = 7.5041 Å
α = 131.33°, β = 131.27°, γ = 71.34°
Fractional positions:
Se: 0.4738 0.2500 0.7238
Se: 0.0262 0.7500 0.7762
Zn: 0.3652 0.1152 0.2500
Zn: 0.1348 0.3848 0.7500
Cd: 0.6329 0.8829 0.7500
Cd: 0.8671 0.6171 0.2500
Te: 0.2500 0.4748 0.2248
Te: 0.7500 0.0252 0.2752


Which one sits at the top of the stability order? entry A does.